Record 1
An optimized crystal structure of TbPmRuPt. Source: Alexandria, functional PBE.

Values from the calculation:
Relative energy among the computed polymorphs (eV per atom): 0.000

Cell: 3.4887 3.4887 7.0398 Å, 90.00 90.00 90.00°
Closest atoms and distances in Å follow each position.
Atoms (fractional coordinates):
1 Tb 0.5000 0.5000 0.6029  4 Ru 2.98, 4 Pt 3.00
2 Pm 0.5000 0.5000 0.1140  4 Ru 3.03, 4 Pt 3.11
3 Ru 0.0000 0.0000 0.3651  4 Tb 2.98, 4 Pm 3.03
4 Pt 0.0000 0.0000 0.8460  4 Tb 3.00, 4 Pm 3.11


Record 2
An optimized crystal structure of TbPmRuPt. Source: Alexandria, functional PBE.

Values from the calculation:
Relative energy among the computed polymorphs (eV per atom): 0.047

Cell: 4.9477 4.9477 4.9477 Å, 60.00 60.00 60.00°
Closest atoms and distances in Å follow each position.
Atoms (fractional coordinates):
1 Ru 0.2500 0.2500 0.2500  4 Pm 3.03, 4 Tb 3.03
2 Tb 0.0000 0.0000 0.0000  4 Ru 3.03, 4 Pt 3.03
3 Pt 0.7500 0.7500 0.7500  4 Pm 3.03, 4 Tb 3.03
4 Pm 0.5000 0.5000 0.5000  4 Pt 3.03, 4 Ru 3.03


Record 3
An optimized crystal structure of PmTmRuPt. Source: Alexandria, functional PBE.

Values from the calculation:
DFT total energy (eV per cell): -27.410

Cell: 4.9052 4.9052 4.9052 Å, 60.00 60.00 60.00°
Closest atoms and distances in Å follow each position.
Atoms (fractional coordinates):
1 Ru 0.2500 0.2500 0.2500  4 Pm 3.00, 4 Tm 3.00
2 Tm 0.5000 0.5000 0.5000  4 Ru 3.00, 4 Pt 3.00
3 Pt 0.7500 0.7500 0.7500  4 Pm 3.00, 4 Tm 3.00
4 Pm 0.0000 0.0000 0.0000  4 Pt 3.00, 4 Ru 3.00


Record 4
An optimized crystal structure of Pm6PtS5. Source: Alexandria, functional PBE.

Values from the calculation:
DFT total energy (eV per cell): -77.828

Cell: 7.0435 7.0435 7.0410 Å, 99.64 99.64 119.88°
Closest atoms and distances in Å follow each position.
Atoms (fractional coordinates):
1 S 0.8320 0.1680 0.5000  6 Pm 2.84-2.89
2 S 0.6659 0.3341 0.0000  6 Pm 2.87
3 S 0.5000 0.5000 0.5000  6 Pm 2.85-2.89
4 S 0.3341 0.6659 0.0000  6 Pm 2.87
5 S 0.1680 0.8320 0.5000  6 Pm 2.84-2.89
6 Pt 0.0000 0.0000 0.0000  6 Pm 2.89-2.91
7 Pm 0.4195 0.0822 0.2501  5 S 2.84-2.89, 1 Pt 2.89
8 Pm 0.9178 0.5805 0.7499  5 S 2.84-2.89, 1 Pt 2.89
9 Pm 0.2528 0.2528 0.7476  5 S 2.85-2.89, 1 Pt 2.91
10 Pm 0.7472 0.7472 0.2524  5 S 2.85-2.89, 1 Pt 2.91
11 Pm 0.0822 0.4195 0.2501  5 S 2.84-2.89, 1 Pt 2.89
12 Pm 0.5805 0.9178 0.7499  5 S 2.84-2.89, 1 Pt 2.89


Record 5
An optimized crystal structure of Pm2PtS. Source: Alexandria, functional PBE.

Values from the calculation:
Relative energy among the computed polymorphs (eV per atom): 0.140

Cell: 4.0369 4.0369 7.6347 Å, 74.67 74.67 60.00°
Closest atoms and distances in Å follow each position.
Atoms (fractional coordinates):
1 Pm 0.0786 0.0786 0.7641  3 Pt 2.89, 3 S 3.01
2 Pm 0.2552 0.2552 0.2343  3 Pt 2.89, 3 S 3.04
3 Pt 0.6671 0.6671 0.9987  6 Pm 2.89
4 S 0.4990 0.4990 0.5029  6 Pm 3.01-3.04


Record 6
An optimized crystal structure of Pm7PtS5. Source: Alexandria, functional PBE.

Values from the calculation:
DFT total energy (eV per cell): -165.225

Cell: 3.9806 6.9544 24.2664 Å, 90.00 90.00 106.72°
Closest atoms and distances in Å follow each position.
Atoms (fractional coordinates):
1 Pm 0.4618 0.9231 0.2500  2 S 2.86, 2 Pt 2.92
2 Pm 0.5388 0.0780 0.7500  2 S 2.86, 2 Pt 2.92
3 Pm 0.6379 0.2751 0.0363  6 S 2.83-2.85
4 Pm 0.3627 0.7262 0.9638  6 S 2.83-2.85
5 Pm 0.3626 0.7259 0.5363  6 S 2.83-2.85
6 Pm 0.6379 0.2750 0.4637  6 S 2.83-2.85
7 Pm 0.1924 0.3855 0.1769  3 S 2.79-2.89, 2 Pt 3.03
8 Pm 0.8083 0.6158 0.8231  3 S 2.79-2.89, 2 Pt 3.03
9 Pm 0.8081 0.6155 0.6769  3 S 2.79-2.89, 2 Pt 3.03
10 Pm 0.1924 0.3855 0.3231  3 S 2.79-2.89, 2 Pt 3.03
11 Pm 0.9128 0.8253 0.1063  5 S 2.83-2.84
12 Pm 0.0878 0.1760 0.8937  5 S 2.83-2.84
13 Pm 0.0876 0.1757 0.6063  5 S 2.83-2.84
14 Pm 0.9128 0.8252 0.3937  5 S 2.83-2.84
15 Pt 0.8013 0.6027 0.2500  6 Pm 2.92-3.03
16 Pt 0.1993 0.3985 0.7501  6 Pm 2.92-3.03
17 S 0.0003 0.0007 0.0000  6 Pm 2.83-2.84
18 S 0.7254 0.4516 0.9291  6 Pm 2.79-2.85
19 S 0.2752 0.5497 0.0709  6 Pm 2.79-2.85
20 S 0.5497 0.0986 0.3575  6 Pm 2.83-2.89
21 S 0.4508 0.9024 0.6425  6 Pm 2.83-2.89
22 S 0.0002 0.0004 0.5000  6 Pm 2.83-2.84
23 S 0.2752 0.5496 0.4291  6 Pm 2.79-2.85
24 S 0.7253 0.4513 0.5709  6 Pm 2.79-2.85
25 S 0.4510 0.9027 0.8575  6 Pm 2.83-2.89
26 S 0.5497 0.0986 0.1425  6 Pm 2.83-2.89


Record 7
An optimized crystal structure of Pm3PtS2. Source: Alexandria, functional PBE.

Values from the calculation:
DFT total energy (eV per cell): -38.573

Cell: 4.0024 5.8520 7.2221 Å, 113.90 106.09 90.00°
Closest atoms and distances in Å follow each position.
Atoms (fractional coordinates):
1 Pm 0.3327 0.3327 0.6653  4 S 2.90-2.93, 2 Pt 2.91
2 Pm 0.0000 0.0000 0.0000  4 S 2.89, 2 Pt 2.93
3 Pm 0.6673 0.6673 0.3347  4 S 2.90-2.93, 2 Pt 2.91
4 Pt 0.0000 0.5000 0.0000  6 Pm 2.91-2.93
5 S 0.6662 0.1662 0.3324  6 Pm 2.89-2.93
6 S 0.3338 0.8338 0.6676  6 Pm 2.89-2.93


Record 8
An optimized crystal structure of Pm2PtS. Source: Alexandria, functional PBE.

Values from the calculation:
Relative energy among the computed polymorphs (eV per atom): 0.070

Cell: 4.0398 4.0398 7.4940 Å, 74.36 74.36 60.00°
Closest atoms and distances in Å follow each position.
Atoms (fractional coordinates):
1 S 0.5000 0.5000 0.5000  6 Pm 2.96
2 Pt 0.0000 0.0000 0.0000  6 Pm 2.91
3 Pm 0.2516 0.2516 0.2451  3 Pt 2.91, 3 S 2.96
4 Pm 0.7484 0.7484 0.7549  3 Pt 2.91, 3 S 2.96


Record 9
An optimized crystal structure of Pm4PtS3. Source: Alexandria, functional PBE.

Values from the calculation:
Relative energy among the computed polymorphs (eV per atom): 0.000

Cell: 4.0249 7.1232 7.1232 Å, 109.15 90.00 90.00°
Closest atoms and distances in Å follow each position.
Atoms (fractional coordinates):
1 S 0.0000 0.0000 0.5000  6 Pm 2.88-2.90
2 S 0.5000 0.5000 0.5000  6 Pm 2.87-2.88
3 S 0.0000 0.5000 0.0000  6 Pm 2.88-2.90
4 Pt 0.5000 0.0000 0.0000  6 Pm 2.88-2.94
5 Pm 0.0000 0.2499 0.2499  2 Pt 2.88, 4 S 2.88-2.90
6 Pm 0.5000 0.7471 0.2529  5 S 2.87-2.88, 1 Pt 2.94
7 Pm 0.0000 0.7501 0.7501  2 Pt 2.88, 4 S 2.88-2.90
8 Pm 0.5000 0.2529 0.7471  5 S 2.87-2.88, 1 Pt 2.94


Record 10
An optimized crystal structure of PmPtS. Source: Alexandria, functional PBE.

Values from the calculation:
DFT total energy (eV per cell): -37.200

Cell: 4.5164 4.5164 9.3985 Å, 76.10 76.10 60.00°
Closest atoms and distances in Å follow each position.
Atoms (fractional coordinates):
1 Pm 0.2371 0.2371 0.2887  1 Pt 2.71, 3 S 2.72
2 Pm 0.7629 0.7629 0.7113  1 Pt 2.71, 3 S 2.72
3 Pt 0.3372 0.3372 0.9885  3 Pt 2.62, 1 Pm 2.71
4 Pt 0.6628 0.6628 0.0115  3 Pt 2.62, 1 Pm 2.71
5 S 0.8752 0.8752 0.3744  4 Pm 2.72-3.04
6 S 0.1248 0.1248 0.6256  4 Pm 2.72-3.04


Record 11
An optimized crystal structure of Pm2PtS. Source: Alexandria, functional PBE.

Values from the calculation:
Relative energy among the computed polymorphs (eV per atom): 0.000

Cell: 4.2131 3.9429 11.6805 Å, 99.72 90.00 90.00°
Closest atoms and distances in Å follow each position.
Atoms (fractional coordinates):
1 Pm 0.7500 0.6859 0.3719  5 S 2.84-2.89
2 Pm 0.2500 0.3141 0.6281  5 S 2.84-2.89
3 Pm 0.7500 0.9335 0.8671  1 S 2.86, 4 Pt 2.92
4 Pm 0.2500 0.0665 0.1329  1 S 2.86, 4 Pt 2.92
5 Pt 0.2500 0.4537 0.9074  7 Pm 2.92-3.26, 2 Pt 3.00
6 Pt 0.7500 0.5463 0.0926  7 Pm 2.92-3.26, 2 Pt 3.00
7 S 0.2500 0.1907 0.3813  6 Pm 2.84-2.89
8 S 0.7500 0.8093 0.6187  6 Pm 2.84-2.89


Number 1: mass density 11.6 Mg/m³. Number 2: mass density 11.6 Mg/m³. Number 3: mass density 12.1 Mg/m³. Number 4: mass density 7.1 Mg/m³. Number 5: mass density 8.4 Mg/m³. Number 6: mass density 7.1 Mg/m³. Number 7: mass density 7.8 Mg/m³. Number 8: mass density 8.5 Mg/m³. Number 9: mass density 7.5 Mg/m³. Number 10: mass density 7.7 Mg/m³. Number 11: mass density 9.0 Mg/m³.